(1)
Entry from Alexandria: CsSr2Pb2 after structural relaxation (GGA-PBEsol).

Summary:
total magnetic moment	0.002	μB per cell
Fermi-level density of states	4.97	states/eV/f.u.
VASP energy	-2.79	eV/atom
space group	I4/mmm

a = 5.919 Å, b = 5.919 Å, c = 7.552 Å
α = 113.07°, β = 113.07°, γ = 90.00°
Positions (direct):
Sr  0.750  0.250  0.500
Pb  0.617  0.617  0.234
Sr  0.250  0.750  0.500
Cs  0.000  0.000  0.000
Pb  0.383  0.383  0.766

***

(2)
Entry from Alexandria: Hf2GaHF after structural relaxation (GGA-PBEsol).

Summary:
total magnetic moment	0.000	μB per cell
Fermi-level density of states	2.92	states/eV/f.u.
VASP energy	-5.60	eV/atom
space group	P4/mmm

a = 3.157 Å, b = 5.166 Å, c = 5.166 Å
α = 90.00°, β = 90.00°, γ = 90.00°
Positions (direct):
H  0.500  0.000  0.000
F  0.500  0.500  0.500
Ga  0.000  0.000  0.000
Hf  0.000  0.500  0.000
Hf  0.000  0.000  0.500

***

(3)
Entry from Alexandria: Sc4Tl after structural relaxation (GGA-PBEsol).

Summary:
total magnetic moment	2.497	μB per cell
Fermi-level density of states	9.63	states/eV/f.u.
VASP energy	-5.32	eV/atom
space group	Im-3m

a = 5.675 Å, b = 5.675 Å, c = 5.675 Å
α = 109.47°, β = 109.47°, γ = 109.47°
Positions (direct):
Tl  0.000  0.000  0.000
Sc  0.500  0.500  0.500
Sc  0.000  0.500  0.000
Sc  0.000  0.000  0.500
Sc  0.500  0.000  0.000

***

(4)
Entry from Alexandria: TiV3Cu2P6O24 after structural relaxation (GGA-PBEsol).

Summary:
total magnetic moment	2.963	μB per cell
Fermi-level density of states	16.26	states/eV/f.u.
VASP energy	-7.89	eV/atom
E_form (uncorrected)	-2151	meV per atom
space group	R3

a = 8.508 Å, b = 8.508 Å, c = 8.444 Å
α = 59.75°, β = 59.75°, γ = 60.00°
Positions (direct):
O  0.913  0.055  0.765
O  0.876  0.504  0.935
O  0.504  0.686  0.935
Cu  0.001  0.001  0.998
O  0.808  0.999  0.567
P  0.039  0.463  0.751
O  0.267  0.913  0.765
V  0.360  0.360  0.921
O  0.235  0.445  0.738
P  0.747  0.039  0.751
O  0.002  0.379  0.432
O  0.686  0.876  0.935
Ti  0.141  0.141  0.578
P  0.960  0.542  0.248
V  0.859  0.859  0.422
Cu  0.500  0.500  0.499
P  0.249  0.960  0.248
V  0.640  0.640  0.079
O  0.764  0.558  0.263
O  0.124  0.502  0.065
O  0.502  0.309  0.065
O  0.445  0.582  0.738
O  0.309  0.124  0.065
O  0.626  0.808  0.567
O  0.582  0.235  0.738
P  0.542  0.249  0.248
O  0.942  0.738  0.237
O  0.999  0.626  0.567
O  0.055  0.267  0.765
O  0.379  0.188  0.432
O  0.415  0.764  0.263
O  0.558  0.415  0.263
O  0.084  0.942  0.237
O  0.738  0.084  0.237
O  0.188  0.002  0.432
P  0.463  0.747  0.751

***

(5)
Entry from Alexandria: SrMg2MnP after structural relaxation (GGA-PBEsol).

Summary:
total magnetic moment	5.318	μB per cell
Fermi-level density of states	3.79	states/eV/f.u.
VASP energy	-2.76	eV/atom
space group	P4/mmm

a = 5.280 Å, b = 6.015 Å, c = 6.015 Å
α = 90.00°, β = 90.00°, γ = 90.00°
Positions (direct):
Sr  0.000  0.000  0.000
Mg  0.000  0.000  0.500
P  0.500  0.000  0.000
Mn  0.500  0.500  0.500
Mg  0.000  0.500  0.000

***

(6)
Entry from Alexandria: ReAs4Os after structural relaxation (GGA-PBEsol).

Summary:
total magnetic moment	0.004	μB per cell
Fermi-level density of states	6.77	states/eV/f.u.
VASP energy	-6.30	eV/atom
space group	F-43m

a = 5.175 Å, b = 5.175 Å, c = 5.175 Å
α = 60.00°, β = 60.00°, γ = 60.00°
Positions (direct):
As  0.375  0.375  0.375
As  0.875  0.375  0.375
As  0.375  0.875  0.375
Re  0.000  0.000  0.000
As  0.375  0.375  0.875
Os  0.750  0.750  0.750